1.
First-principles (PBE) data for AgBi2Rh2 after structural relaxation, as listed in the Alexandria database.

abc: 6.4896 6.4896 6.4896
angles: 138.74 138.74 59.77
With the nearest neighbours (Å) after each atom.
Fractional positions:
Ag 0.0000 0.0000 0.0000  8 Rh 3.47, 8 Bi 3.63
Bi 0.2500 0.7500 0.5000  4 Rh 2.76
Bi 0.7500 0.2500 0.5000  4 Rh 2.76
Rh 0.3875 0.3875 0.0000  1 Rh 2.53, 4 Bi 2.76
Rh 0.6125 0.6125 0.0000  1 Rh 2.53, 4 Bi 2.76

**Space group**: I4/mmm, No. 139
**Excess energy over the best structure of this formula in the dataset**: 315 meV per atom
**Crystal system**: tetragonal
**Energy of formation from the pure elements**: 149 kJ/mol of formula units
**N(E_F)**: 0.511 states/eV per atom
**Total magnetization**: 0.00 μB per formula unit



2.
First-principles (PBE) data for AgBi2Rh2 after structural relaxation, as listed in the Alexandria database.

abc: 7.5635 7.5635 3.5697
angles: 90.00 90.00 90.00
With the nearest neighbours (Å) after each atom.
Fractional positions:
Ag 0.0000 0.0000 0.0000  4 Rh 2.93
Ag 0.5000 0.5000 0.0000  4 Rh 2.93
Bi 0.1604 0.3396 0.5000  6 Rh 2.80-2.88
Bi 0.3396 0.8396 0.5000  6 Rh 2.80-2.88
Bi 0.6604 0.1604 0.5000  6 Rh 2.80-2.88
Bi 0.8396 0.6604 0.5000  6 Rh 2.80-2.88
Rh 0.1373 0.6373 0.0000  6 Bi 2.80-2.88, 2 Ag 2.93, 1 Rh 2.94
Rh 0.3627 0.1373 0.0000  6 Bi 2.80-2.88, 2 Ag 2.93, 1 Rh 2.94
Rh 0.6373 0.8627 0.0000  6 Bi 2.80-2.88, 2 Ag 2.93, 1 Rh 2.94
Rh 0.8627 0.3627 0.0000  6 Bi 2.80-2.88, 2 Ag 2.93, 1 Rh 2.94

**Space group**: P4/mbm, No. 127
**Excess energy over the best structure of this formula in the dataset**: 0 meV per atom
**Crystal system**: tetragonal
**Energy of formation from the pure elements**: -2 kJ/mol of formula units
**N(E_F)**: 0.689 states/eV per atom
**Total magnetization**: 0.00 μB per formula unit